[1]
Y2CoOs: optimized geometry, PBEsol.

The calculation puts the calculated density at 7.54 Mg/m³. The value obtained for the formation energy is -0.116 eV/atom.

It has space group R3m (No. 160, hexagonal axes), with a = 4.0096 Å, b = 4.0096 Å, c = 20.2522 Å, α = 90.00°, β = 90.00° and γ = 120.00°. The asymmetric unit holds Y at (0.0000, 0.0000, 0.0000), Y at (0.0000, 0.0000, 0.1788), Co at (0.0000, 0.0000, 0.7570) and Os at (0.0000, 0.0000, 0.4220).

[2]
CoNiW2: optimized geometry, PBEsol.

The calculation puts the calculated density at 15.70 Mg/m³. The value obtained for the formation energy is 0.029 eV/atom.

It has space group Pmmm (No. 47), with a = 2.635 Å, b = 3.692 Å, c = 5.276 Å, α = 90.00°, β = 90.00° and γ = 90.00°. The asymmetric unit holds Co at (0.000, 0.000, 0.000), Ni at (0.000, 0.000, 0.500) and W at (0.500, 0.500, 0.248).

[3]
Al2InRu: optimized geometry, PBEsol.

The calculation puts the calculated density at 6.61 Mg/m³. The value obtained for the formation energy is -0.127 eV/atom.

It has space group R-3m (No. 166, hexagonal axes), with a = 3.0029 Å, b = 3.0029 Å, c = 26.0541 Å, α = 90.00°, β = 90.00° and γ = 120.00°. The asymmetric unit holds Al at (0.0000, 0.0000, 0.2365), In at (0.0000, 0.0000, 0.0000) and Ru at (0.0000, 0.0000, 0.5000).

[4]
LaPd5: optimized geometry, PBEsol.

The calculation puts the calculated density at 10.40 Mg/m³. The value obtained for the formation energy is -0.555 eV/atom.

It has space group P6/mmm (No. 191), with a = 5.2919 Å, b = 5.2919 Å, c = 4.4176 Å, α = 90.00°, β = 90.00° and γ = 120.00°. The asymmetric unit holds La at (0.0000, 0.0000, 0.0000), Pd at (0.0000, 0.5000, 0.5000) and Pd at (0.3333, 0.6667, 0.0000).

[5]
HoAlCu: optimized geometry, PBEsol.

The calculation puts the calculated density at 7.79 Mg/m³. The value obtained for the formation energy is -0.466 eV/atom.

It has space group P-62m (No. 189), with a = 6.9400 Å, b = 6.9400 Å, c = 3.9183 Å, α = 90.00°, β = 90.00° and γ = 120.00°. The asymmetric unit holds Ho at (0.0000, 0.5842, 0.0000), Al at (0.0000, 0.2372, 0.5000), Cu at (0.0000, 0.0000, 0.0000) and Cu at (0.3333, 0.6667, 0.5000).

[6]
MgCoSi2O6: optimized geometry, PBEsol.

The calculation puts the calculated density at 3.72 Mg/m³. The value obtained for the raw formation energy is -2.347 eV/atom.

It has space group Pbca (No. 61), with a = 5.200 Å, b = 18.163 Å, c = 8.897 Å, α = 90.00°, β = 90.00° and γ = 90.00°. The asymmetric unit holds Mg at (0.127, 0.124, 0.156), Co at (0.136, 0.123, 0.510), Si at (0.058, 0.727, 0.659), Si at (0.209, 0.028, 0.836), O at (0.043, 0.683, 0.163), O at (0.058, 0.689, 0.495), O at (0.095, 0.553, 0.696), O at (0.166, 0.195, 0.727), O at (0.188, 0.569, 0.985) and O at (0.208, 0.562, 0.337).

[7]
ZrTlCo2I: optimized geometry, PBEsol.

The calculation puts the calculated density at 7.34 Mg/m³. The value obtained for the raw formation energy is 1.356 eV/atom.

It has space group P4/mmm (No. 123), with a = 4.752 Å, b = 4.752 Å, c = 5.410 Å, α = 90.00°, β = 90.00° and γ = 90.00°. The asymmetric unit holds Zr at (0.000, 0.000, 0.000), Tl at (0.000, 0.000, 0.500), Co at (0.000, 0.500, 0.500) and I at (0.500, 0.500, 0.000).

[8]
OsRuAu3: optimized geometry, PBEsol.

The calculation puts the calculated density at 13.08 Mg/m³. The value obtained for the formation energy is 2.334 eV/atom.

It has space group Pm-3m (No. 221), with a = 4.820 Å, b = 4.820 Å, c = 4.820 Å, α = 90.00°, β = 90.00° and γ = 90.00°. The asymmetric unit holds Os at (0.000, 0.000, 0.000), Ru at (0.500, 0.500, 0.500) and Au at (0.000, 0.500, 0.500).

Question: The lowest calculated density belongs to which entry?
Answer: MgCoSi2O6

Question: What is the calculated density in the second record?
Answer: 15.70 Mg/m³

Question: What is the calculated density in the first record?
Answer: 7.54 Mg/m³